Material: SrCaIr3
Method: DFT, meta-GGA SCAN
State: PBEsol geometry

a b c (Å): 4.9133 4.9133 4.9133
angles (deg): 90.00 90.00 90.00
Element x y z (fractional)
Sr: 0.0000 0.0000 0.0000
Ca: 0.5000 0.5000 0.5000
Ir: 0.0000 0.0000 0.5000
Ir: 0.0000 0.5000 0.0000
Ir: 0.5000 0.0000 0.0000

Values from the calculation:
- Formation energy from the elements: 2.07 eV per atom
- Volume: 23.72 Å³/atom
- Magnetization: 1.12 μB/f.u.



Material: SrCa2Ir
Method: DFT, meta-GGA SCAN
State: PBEsol geometry

a b c (Å): 5.2524 5.2524 5.2524
angles (deg): 119.63 119.63 90.64
Element x y z (fractional)
Sr: 0.0000 0.0000 0.0000
Ca: 0.2500 0.7500 0.5000
Ca: 0.5000 0.5000 0.0000
Ir: 0.7500 0.2500 0.5000

Values from the calculation:
- Formation energy from the elements: 0.09 eV per atom
- Volume: 25.76 Å³/atom
- Magnetization: 0.00 μB/f.u.



Material: SrCaIr2
Method: DFT, meta-GGA SCAN
State: PBEsol geometry

a b c (Å): 4.8111 4.8111 4.8111
angles (deg): 60.00 60.00 60.00
Element x y z (fractional)
Sr: 0.0000 0.0000 0.0000
Ca: 0.2500 0.2500 0.2500
Ir: 0.5000 0.5000 0.5000
Ir: 0.7500 0.7500 0.7500

Values from the calculation:
- Formation energy from the elements: 0.25 eV per atom
- Volume: 19.69 Å³/atom
- Offset from the most stable computed form: 65.5 kJ/mol of atoms
- Magnetization: 1.11 μB/f.u.



Material: SrCaIr2
Method: DFT, meta-GGA SCAN
State: PBEsol geometry

a b c (Å): 4.4819 5.4907 5.4907
angles (deg): 49.39 90.00 90.00
Element x y z (fractional)
Sr: 0.0000 0.0000 0.0000
Ca: 0.5000 0.2913 0.2913
Ir: 0.0000 0.6925 0.6925
Ir: 0.5000 0.6118 0.6118

Values from the calculation:
- Formation energy from the elements: -0.43 eV per atom
- Volume: 25.65 Å³/atom
- Offset from the most stable computed form: 0.0 kJ/mol of atoms
- Magnetization: 0.00 μB/f.u.



Material: Sr3CaIr
Method: DFT, meta-GGA SCAN
State: PBEsol geometry

a b c (Å): 5.8437 5.8437 5.8437
angles (deg): 90.00 90.00 90.00
Element x y z (fractional)
Sr: 0.0000 0.0000 0.5000
Sr: 0.0000 0.5000 0.0000
Sr: 0.5000 0.0000 0.0000
Ca: 0.5000 0.5000 0.5000
Ir: 0.0000 0.0000 0.0000

Values from the calculation:
- Formation energy from the elements: -0.11 eV per atom
- Volume: 39.91 Å³/atom
- Magnetization: 0.16 μB/f.u.



Material: CaTa2Ir
Method: DFT, meta-GGA SCAN
State: PBEsol geometry

a b c (Å): 2.8808 4.6593 5.4578
angles (deg): 90.00 102.21 90.00
Element x y z (fractional)
Ca: 0.0000 0.0000 0.0000
Ta: 0.2707 0.5000 0.7317
Ta: 0.7293 0.5000 0.2683
Ir: 0.5000 0.0000 0.5000

Values from the calculation:
- Formation energy from the elements: 0.22 eV per atom
- Volume: 17.90 Å³/atom
- Offset from the most stable computed form: 0.0 kJ/mol of atoms
- Magnetization: 0.00 μB/f.u.



Material: CaTa2Ir2
Method: DFT, meta-GGA SCAN
State: PBEsol geometry

a b c (Å): 6.0697 6.0697 6.0697
angles (deg): 137.44 137.44 61.76
Element x y z (fractional)
Ca: 0.0000 0.0000 0.0000
Ta: 0.2500 0.7500 0.5000
Ta: 0.7500 0.2500 0.5000
Ir: 0.3756 0.3756 0.0000
Ir: 0.6244 0.6244 0.0000

Values from the calculation:
- Formation energy from the elements: -0.72 eV per atom
- Volume: 20.22 Å³/atom
- Magnetization: 0.00 μB/f.u.



Material: CaTa2Ir
Method: DFT, meta-GGA SCAN
State: PBEsol geometry

a b c (Å): 5.4309 5.4309 2.8164
angles (deg): 90.00 90.00 120.42
Element x y z (fractional)
Ca: 0.0000 0.0000 0.0000
Ta: 0.0000 0.5000 0.5000
Ta: 0.5000 0.0000 0.5000
Ir: 0.5000 0.5000 0.0000

Values from the calculation:
- Formation energy from the elements: 0.39 eV per atom
- Volume: 17.91 Å³/atom
- Offset from the most stable computed form: 16.3 kJ/mol of atoms
- Magnetization: 0.00 μB/f.u.



The highest magnetization belongs to which entry?
SrCaIr3